First-principles (PBE) data for a relaxed LiHo4Rh2 crystal, as listed in Alexandria.

Results
The calculation puts the formation energy from the elements at -0.532 eV/atom.

a b c (Å): 6.7422 6.8219 8.4127
angles (deg): 68.36 66.38 89.98
Space group P1 (No. 1)
Unique sites:
Li 0.0000 0.0000 0.0000
Li 0.1630 0.8672 0.6744
Ho 0.2294 0.7216 0.3244
Ho 0.2371 0.2225 0.3065
Ho 0.3540 0.4331 0.8379
Ho 0.4606 0.9335 0.8375
Ho 0.7043 0.6459 0.3686
Ho 0.7185 0.1468 0.3502
Ho 0.7494 0.5752 0.9777
Ho 0.8893 0.2924 0.6969
Rh 0.0776 0.5691 0.1118
Rh 0.3523 0.2978 0.5639
Rh 0.5803 0.0847 0.0741
Rh 0.8168 0.7828 0.6010